# NdTh2Si2

An optimized crystal structure of NdTh2Si2 (PBE-GGA, Alexandria).

Cell: 4.2090 7.8248 7.8248 Å, 90.00 90.00 90.00°
Last column: nearest neighbours and their distance in Å.
Sites, in units of the cell vectors:
Nd  0.0000  0.0000  0.0000  4 Si 3.16
Nd  0.0000  0.5000  0.5000  4 Si 3.16
Th  0.5000  0.1796  0.6796  6 Si 3.12-3.15
Th  0.5000  0.6796  0.8204  6 Si 3.12-3.15
Th  0.5000  0.8204  0.3204  6 Si 3.12-3.15
Th  0.5000  0.3204  0.1796  6 Si 3.12-3.15
Si  0.0000  0.3873  0.8873  1 Si 2.49
Si  0.0000  0.8873  0.6127  1 Si 2.49
Si  0.0000  0.6127  0.1127  1 Si 2.49
Si  0.0000  0.1127  0.3873  1 Si 2.49

Properties
DFT total energy = -6.732 eV/atom
raw formation energy = -641 meV per atom
spin magnetization = 0.0 μB per formula unit
mass density = 8.6 Mg/m³
crystal system = tetragonal

# ZrSc4Pd2

An optimized crystal structure of ZrSc4Pd2 (PBE-GGA, Alexandria).

Cell: 3.2590 3.2590 16.1429 Å, 84.21 84.21 60.00°
Last column: nearest neighbours and their distance in Å.
Sites, in units of the cell vectors:
Zr  0.5000  0.5000  0.5000  6 Sc 3.17, 6 Zr 3.26
Sc  0.6940  0.6940  0.9181  3 Pd 2.80
Sc  0.8864  0.8864  0.3407  3 Pd 2.80
Sc  0.3060  0.3060  0.0819  3 Pd 2.80
Sc  0.1136  0.1136  0.6593  3 Pd 2.80
Pd  0.5963  0.5963  0.2110  6 Sc 2.80
Pd  0.4037  0.4037  0.7890  6 Sc 2.80

Properties
DFT total energy = -6.644 eV/atom
spin magnetization = 0.0 μB per formula unit
mass density = 5.4 Mg/m³
crystal system = trigonal